## LaNdCuSn (PBE-GGA)

Data for an optimized crystal structure of LaNdCuSn.

The structure in CIF format:
```
data_LaNdCuSn
_space_group_name_H-M_alt 'P 1'
_space_group_IT_number 1
_cell_length_a 5.378
_cell_length_b 5.378
_cell_length_c 5.378
_cell_angle_alpha 60.00
_cell_angle_beta 60.00
_cell_angle_gamma 60.00
loop_
_space_group_symop_operation_xyz
'x,y,z'
loop_
_atom_site_label
_atom_site_type_symbol
_atom_site_fract_x
_atom_site_fract_y
_atom_site_fract_z
La1 La 0.000 0.000 0.000
Nd1 Nd 0.500 0.500 0.500
Cu1 Cu 0.750 0.750 0.750
Sn1 Sn 0.250 0.250 0.250
```

V   27.5 Å³ per atom
Final energy   -19.50 eV per formula unit
Symmetry   F-43m (216)